Entry 1:
Below is an optimized crystal structure of Ge2Os, with properties calculated at the PBE level.

Cell and atoms, written as POSCAR:
```
Ge2Os
1.0
0.0000 5.3103 5.3103
5.3103 0.0000 5.3103
5.3103 5.3103 0.0000
Ge Os
4 2
direct
0.0000 0.0000 0.0000 Ge
0.0000 0.0000 0.5000 Ge
0.0000 0.5000 0.0000 Ge
0.5000 0.0000 0.0000 Ge
0.1250 0.1250 0.1250 Os
0.8750 0.8750 0.8750 Os
```

- M_tot (μB per atom) = 0.001
- ΔE to the lowest computed polymorph (meV/atom) = 559

=====

Entry 2:
Below is an optimized crystal structure of GeOs2, with properties calculated at the PBE level.

Cell and atoms, written as POSCAR:
```
GeOs2
1.0
0.0000 5.4869 5.4869
5.4869 0.0000 5.4869
5.4869 5.4869 0.0000
Ge Os
2 4
direct
0.1250 0.1250 0.1250 Ge
0.8750 0.8750 0.8750 Ge
0.0000 0.0000 0.0000 Os
0.0000 0.0000 0.5000 Os
0.0000 0.5000 0.0000 Os
0.5000 0.0000 0.0000 Os
```

- E_tot (eV/cell) = -32.1
- M_tot (μB per atom) = 1.738

=====

Entry 3:
Below is an optimized crystal structure of Ge4Os, with properties calculated at the PBE level.

Cell and atoms, written as POSCAR:
```
Ge4Os
1.0
3.8999 -2.6429 0.0000
3.8999 2.6429 0.0000
-0.0435 0.0000 8.6894
Ge Os
8 2
direct
0.0126 0.4741 0.6483 Ge
0.1644 0.6704 0.9950 Ge
0.3296 0.8356 0.5050 Ge
0.4741 0.0126 0.1483 Ge
0.5259 0.9874 0.8517 Ge
0.6704 0.1644 0.4950 Ge
0.8356 0.3296 0.0050 Ge
0.9874 0.5259 0.3517 Ge
0.4926 0.5074 0.2500 Os
0.5074 0.4926 0.7500 Os
```

- E_tot (eV/cell) = -59.0
- M_tot (μB per atom) = 0.001

=====

Entry 4:
Below is an optimized crystal structure of Ge2Os, with properties calculated at the PBE level.

Cell and atoms, written as POSCAR:
```
Ge2Os
1.0
0.0000 2.9805 2.9805
2.9805 0.0000 2.9805
2.9805 2.9805 0.0000
Ge Os
2 1
direct
0.2500 0.2500 0.2500 Ge
0.7500 0.7500 0.7500 Ge
0.0000 0.0000 0.0000 Os
```

- M_tot (μB per atom) = 0.002
- ΔE to the lowest computed polymorph (meV/atom) = 0

=====

Entry 5:
Below is an optimized crystal structure of Ge7Os3, with properties calculated at the PBE level.

Cell and atoms, written as POSCAR:
```
Ge7Os3
1.0
1.8406 -4.3494 0.0000
1.8406 4.3494 0.0000
0.0000 0.0000 20.8625
Ge Os
14 6
direct
0.0611 0.9389 0.6669 Ge
0.0611 0.9389 0.8331 Ge
0.2249 0.7751 0.2500 Ge
0.3357 0.6643 0.6331 Ge
0.3357 0.6643 0.8669 Ge
0.3601 0.6399 0.0328 Ge
0.3601 0.6399 0.4672 Ge
0.6399 0.3601 0.5328 Ge
0.6399 0.3601 0.9672 Ge
0.6643 0.3357 0.1331 Ge
0.6643 0.3357 0.3669 Ge
0.7751 0.2249 0.7500 Ge
0.9389 0.0611 0.1669 Ge
0.9389 0.0611 0.3331 Ge
0.0736 0.9264 0.0577 Os
0.0736 0.9264 0.4423 Os
0.4825 0.5175 0.7500 Os
0.5175 0.4825 0.2500 Os
0.9264 0.0736 0.5577 Os
0.9264 0.0736 0.9423 Os
```

- E_tot (eV/cell) = -131.6
- M_tot (μB per atom) = 0.000

=====

Entry 6:
Below is an optimized crystal structure of GeOs2, with properties calculated at the PBE level.

Cell and atoms, written as POSCAR:
```
GeOs2
1.0
0.0000 2.8930 2.8930
2.8930 0.0000 2.8930
2.8930 2.8930 0.0000
Ge Os
1 2
direct
0.0000 0.0000 0.0000 Ge
0.2500 0.2500 0.2500 Os
0.7500 0.7500 0.7500 Os
```

- E_tot (eV/cell) = -24.9
- M_tot (μB per atom) = 0.002

=====

Entry 7:
Below is an optimized crystal structure of GeOs2, with properties calculated at the PBE level.

Cell and atoms, written as POSCAR:
```
GeOs2
1.0
0.0000 3.6772 3.6772
3.6772 0.0000 3.6772
3.6772 3.6772 0.0000
Ge Os
2 4
direct
0.1250 0.1250 0.1250 Ge
0.8750 0.8750 0.8750 Ge
0.0000 0.5000 0.5000 Os
0.5000 0.0000 0.5000 Os
0.5000 0.5000 0.0000 Os
0.5000 0.5000 0.5000 Os
```

- E_tot (eV/cell) = -48.7
- M_tot (μB per atom) = 0.041

=====

Entry 8:
Below is an optimized crystal structure of Si17Ge13POs, with properties calculated at the PBE level.

Cell and atoms, written as POSCAR:
```
Si17Ge13POs
1.0
5.5635 0.0000 0.0000
0.0000 3.9359 0.0000
-0.0431 0.0000 31.3202
Si Ge P Os
17 13 1 1
direct
0.0000 0.0000 0.0000 Si
0.0001 0.0000 0.7493 Si
0.0018 0.0000 0.2502 Si
0.2408 0.0000 0.3125 Si
0.2482 0.0000 0.1886 Si
0.2513 0.0000 0.9395 Si
0.2519 0.0000 0.6890 Si
0.2548 0.0000 0.4396 Si
0.2639 0.0000 0.5650 Si
0.4893 0.5000 0.9383 Si
0.4906 0.5000 0.1878 Si
0.4920 0.5000 0.6869 Si
0.4955 0.5000 0.4419 Si
0.7334 0.5000 0.6229 Si
0.7414 0.5000 0.8781 Si
0.7490 0.5000 0.1281 Si
0.9905 0.0000 0.1282 Si
0.0053 0.0000 0.3765 Ge
0.2370 0.0000 0.0646 Ge
0.2397 0.0000 0.8132 Ge
0.4898 0.5000 0.3134 Ge
0.5009 0.5000 0.0649 Ge
0.5008 0.5000 0.8142 Ge
0.7435 0.5000 0.3785 Ge
0.7495 0.5000 0.9997 Ge
0.7504 0.5000 0.2498 Ge
0.7514 0.5000 0.7493 Ge
0.9904 0.0000 0.8781 Ge
0.9922 0.0000 0.6265 Ge
0.9948 0.0000 0.5022 Ge
0.7279 0.5000 0.5041 P
0.4854 0.5000 0.5619 Os
```

- E_tot (eV/cell) = -167.4
- M_tot (μB per atom) = 0.000